Computed, not measured: NpFeRu after structural relaxation at the PBE level of DFT.

E above lowest polymorph	0.0	kJ/mol of formula units
Fermi-level density of states	4.89	states/eV/f.u.
energy of formation from the pure elements	0.1579	eV/atom

Cell lengths 4.3959, 4.3959, 2.8275 Å; angles 90.00, 90.00, 120.00 degrees
Space group P3m1 (No. 156)
Asymmetric unit:
1 Np 0.0000 0.0000 0.0000 [1 per cell]
2 Fe 0.6667 0.3333 0.2483 [1 per cell]
3 Ru 0.3333 0.6667 0.7072 [1 per cell]

Computed, not measured: Np2FeRu after structural relaxation at the PBE level of DFT.

Fermi-level density of states	8.09	states/eV/f.u.
energy of formation from the pure elements	0.1330	eV/atom

Cell lengths 3.283, 3.283, 6.804 Å; angles 90.00, 90.00, 90.00 degrees
Space group P4/mmm (No. 123)
Asymmetric unit:
1 Np 0.000 0.000 0.240 [2 per cell]
2 Fe 0.500 0.500 0.000 [1 per cell]
3 Ru 0.500 0.500 0.500 [1 per cell]